(1)
The following is a PBEsol calculation of a relaxed CuSi2Pb crystal, from Alexandria.

- Density of states at the Fermi level: 1.54 states/eV/cell

Cell: 4.125 4.125 5.826 Å, 106.08 106.08 51.93°
Element x y z (fractional)
1 Cu 0.000 0.000 0.000
2 Si 0.467 0.467 0.299
3 Si 0.726 0.726 0.120
4 Pb 0.233 0.233 0.680


(2)
The following is a PBEsol calculation of a relaxed Cu2SiPb crystal, from Alexandria.

- Energy above the lowest structure with this stoichiometry: 0.168 eV/atom
- Density of states at the Fermi level: 1.73 states/eV/cell

Cell: 3.140 3.140 6.738 Å, 90.00 90.00 90.00°
Element x y z (fractional)
1 Cu 0.000 0.000 0.182
2 Cu 0.000 0.000 0.818
3 Si 0.500 0.500 0.000
4 Pb 0.500 0.500 0.500


(3)
The following is a PBEsol calculation of a relaxed Cu2SiPb crystal, from Alexandria.

- Energy above the lowest structure with this stoichiometry: 0.000 eV/atom
- Density of states at the Fermi level: 1.14 states/eV/cell

Cell: 5.607 5.607 5.607 Å, 41.84 41.84 41.84°
Element x y z (fractional)
1 Cu 0.199 0.199 0.199
2 Cu 0.801 0.801 0.801
3 Si 0.500 0.500 0.500
4 Pb 0.000 0.000 0.000


(4)
The following is a PBEsol calculation of a relaxed CuSiPb crystal, from Alexandria.

- Density of states at the Fermi level: 1.63 states/eV/cell

Cell: 4.528 4.528 4.528 Å, 60.00 60.00 60.00°
Element x y z (fractional)
1 Cu 0.000 0.000 0.000
2 Si 0.500 0.500 0.500
3 Pb 0.750 0.750 0.750


no.,magnetic moment (μB/cell),E_form (uncorrected) (kJ per mole of atoms)
1,0.00,23.7
2,0.00,24.6
3,0.00,8.4
4,0.00,72.8